Entry from the Alexandria database: a relaxed Te2W2N2O crystal (PBE with a Hubbard U).

Geometry as POSCAR:
```
Te2W2N2O
1.0
-1.908 4.633 4.481
1.908 -4.633 4.481
1.908 4.633 -4.481
W N O Te
2 2 1 2
direct
0.792 0.303 0.096
0.208 0.303 0.511
0.762 0.803 0.565
0.238 0.803 0.042
0.000 0.303 0.303
0.346 0.150 0.804
0.654 0.458 0.804
```

Values from the calculation:
As for the crystal system: orthorhombic. The uncorrected energy is -5.82 eV per atom.